The following is a PBE calculation of a relaxed Sm2TmAs3Rh12 crystal, from Alexandria via LeMat-Bulk.

a b c (Å): 6.8108 6.8108 6.8108
angles (deg): 83.95 83.95 83.95
Sites, in units of the cell vectors:
Sm1 0.6411 0.6411 0.6411
Sm2 0.3589 0.3589 0.3589
Tm1 0.0000 0.0000 0.0000
As1 0.5000 0.0000 0.0000
As2 0.0000 0.5000 0.0000
As3 0.0000 0.0000 0.5000
Rh1 0.3788 0.3788 0.8982
Rh2 0.8153 0.8153 0.3218
Rh3 0.3218 0.8153 0.8153
Rh4 0.8982 0.3788 0.3788
Rh5 0.8153 0.3218 0.8153
Rh6 0.3788 0.8982 0.3788
Rh7 0.6212 0.6212 0.1018
Rh8 0.1847 0.1847 0.6782
Rh9 0.6782 0.1847 0.1847
Rh10 0.1018 0.6212 0.6212
Rh11 0.1847 0.6782 0.1847
Rh12 0.6212 0.1018 0.6212

Calculated values
electronic total energy = -6.77 eV/atom
ΔE_f = -0.317 eV per atom